! TbSi3Os3 | the Alexandria database | PBE-GGA | optimized geometry; values from VASP
! size of the total moment	0.000	μB/f.u.
! mass density	9.744	Mg/m³
! formation energy (no corrections)	0.08	eV per atom
! offset from the most stable computed form	0.281	eV/atom
&SYSTEM
  ibrav = 0, nat = 14, ntyp = 3
/
ATOMIC_SPECIES
Os 190.23 Os.upf
Si 28.09 Si.upf
Tb 158.93 Tb.upf
ATOMIC_POSITIONS angstrom
Os 4.918 0.834 3.111
Si 0.975 3.512 0.080
Si -0.192 1.491 3.321
Os 1.720 0.206 3.208
Si 4.173 4.140 -0.017
Si -0.816 4.689 3.450
Os 2.886 2.227 -0.033
Os 2.262 5.425 0.096
Tb 2.695 3.718 3.288
Tb 0.000 0.000 0.000
Os -0.564 3.144 1.757
Os -0.444 3.036 5.014
Si 3.259 0.574 1.531
Si 3.379 0.467 4.788
CELL_PARAMETERS angstrom
-1.248 6.396 0.258
0.241 -0.216 6.514
6.397 1.256 -0.195